# GGA-PBE CsSrCl3, optimized geometry
# space group = C2/c
# ΔE_f (raw) = -2.27 eV/atom
# total energy = -3.89 eV/atom
data_CsSrCl3
_symmetry_space_group_name_H-M 'P 1'
_symmetry_Int_Tables_number 1
_symmetry_space_group_name_Hall 'P 1'
_cell_length_a 10.512
_cell_length_b 10.512
_cell_length_c 7.643
_cell_angle_alpha 90.08
_cell_angle_beta 90.08
_cell_angle_gamma 77.54
loop_
_atom_site_label
_atom_site_fract_x
_atom_site_fract_y
_atom_site_fract_z
Cs1 0.122 0.878 0.750
Cs2 0.375 0.625 0.250
Cs3 0.625 0.375 0.750
Cs4 0.878 0.122 0.250
Sr1 0.162 0.338 0.622
Sr2 0.338 0.162 0.122
Sr3 0.662 0.838 0.878
Sr4 0.838 0.662 0.378
Cl1 0.094 0.190 0.920
Cl2 0.108 0.609 0.501
Cl3 0.190 0.094 0.420
Cl4 0.313 0.405 0.919
Cl5 0.391 0.892 0.999
Cl6 0.405 0.313 0.419
Cl7 0.595 0.687 0.581
Cl8 0.609 0.108 0.001
Cl9 0.687 0.595 0.081
Cl10 0.810 0.906 0.580
Cl11 0.892 0.391 0.499
Cl12 0.906 0.810 0.080